Here is ThSi3Ru at its PBEsol-relaxed geometry from Alexandria via LeMat-Bulk. Energies are from SCAN.

Cell: 4.198 4.198 5.740 Å, 111.45 111.45 90.00°
Positions (direct):
Ru: 0.765 0.765 0.530
Si: 0.656 0.156 0.313
Si: 0.156 0.656 0.313
Si: 0.003 0.003 0.005
Th: 0.422 0.422 0.844

Values from the calculation:
Formation energy without anion corrections   -0.734 eV/atom

=====

Here is YTaMo2 at its PBEsol-relaxed geometry from Alexandria via LeMat-Bulk. Energies are from SCAN.

Cell: 3.229 4.536 4.888 Å, 90.00 90.00 90.00°
Positions (direct):
Mo: 0.000 0.000 0.000
Mo: 0.500 0.000 0.500
Ta: 0.500 0.500 0.000
Y: 0.000 0.500 0.500

Values from the calculation:
ΔE to the lowest computed polymorph   164 meV/atom
DFT formation energy   0.51 eV per atom

=====

| no. | theoretical density (g/cm3) |
| --- | --- |
| 1 | 8.0 |
| 2 | 10.7 |